First-principles (PBE) data for NdScTl after structural relaxation, as listed in Alexandria via LeMat-Bulk.

Lattice parameters (Å, degrees): 13.4197 13.4197 13.4197 164.47 164.47 22.03
Fractional coordinates of all 6 atoms:
Nd (0.0686, 0.0686, 0.0000)
Nd (0.9314, 0.9314, 0.0000)
Sc (0.2143, 0.2143, 0.0000)
Sc (0.7857, 0.7857, 0.0000)
Tl (0.3507, 0.3507, 0.0000)
Tl (0.6493, 0.6493, 0.0000)

Uncorrected energy: -4.61 eV/atom